# Al2H10S3O17, single point on PBEsol structure, DFT SCAN
# **Total magnetization**: 0.001 μB/cell
# **Raw total energy**: -7.43 eV per atom
data_Al2H10S3O17
_chemical_formula_sum 'Al8 H40 S12 O68'
_cell_length_a 5.418
_cell_length_b 10.796
_cell_length_c 20.745
_cell_angle_alpha 90.00
_cell_angle_beta 96.17
_cell_angle_gamma 90.00
_symmetry_space_group_name_H-M 'P 1'
_symmetry_Int_Tables_number 1
loop_
_symmetry_equiv_pos_as_xyz
'x,y,z'
loop_
_atom_site_label
_atom_site_fract_x
_atom_site_fract_y
_atom_site_fract_z
O1 0.553 0.048 0.167
O2 0.249 0.492 0.570
O3 0.839 0.880 0.164
O4 0.668 0.361 0.781
O5 0.641 0.466 0.173
O6 0.675 0.616 0.954
O7 0.551 0.168 0.981
O8 0.430 0.934 0.350
O9 0.447 0.952 0.833
O10 0.570 0.066 0.650
O11 0.151 0.124 0.452
O12 0.661 0.380 0.336
O13 0.359 0.534 0.827
O14 0.859 0.966 0.327
O15 0.349 0.624 0.048
O16 0.008 0.907 0.838
O17 0.539 0.252 0.230
O18 0.019 0.765 0.008
O19 0.196 0.387 0.272
O20 0.251 0.054 0.049
O21 0.749 0.008 0.070
O22 0.947 0.548 0.333
O23 0.771 0.495 0.064
O24 0.229 0.505 0.936
O25 0.253 0.294 0.386
O26 0.747 0.706 0.614
O27 0.481 0.265 0.492
O28 0.886 0.642 0.148
O29 0.753 0.206 0.886
O30 0.161 0.120 0.836
O31 0.461 0.748 0.770
O32 0.849 0.876 0.548
O33 0.981 0.235 0.992
O34 0.751 0.508 0.430
O35 0.825 0.116 0.546
O36 0.304 0.887 0.228
O37 0.729 0.995 0.436
O38 0.449 0.832 0.019
O39 0.949 0.668 0.519
O40 0.492 0.407 0.662
O41 0.249 0.554 0.451
O42 0.930 0.566 0.850
O43 0.247 0.794 0.114
O44 0.271 0.005 0.564
O45 0.832 0.861 0.719
O46 0.339 0.620 0.664
O47 0.614 0.142 0.352
O48 0.251 0.992 0.930
O49 0.519 0.735 0.508
O50 0.325 0.384 0.046
O51 0.696 0.113 0.772
O52 0.386 0.858 0.648
O53 0.070 0.434 0.150
O54 0.751 0.446 0.549
O55 0.749 0.946 0.951
O56 0.651 0.376 0.952
O57 0.114 0.358 0.852
O58 0.508 0.593 0.338
O59 0.051 0.332 0.481
O60 0.804 0.613 0.728
O61 0.992 0.093 0.162
O62 0.053 0.452 0.667
O63 0.175 0.884 0.454
O64 0.332 0.639 0.219
O65 0.141 0.034 0.673
O66 0.961 0.752 0.270
O67 0.168 0.139 0.281
O68 0.039 0.248 0.730
S1 0.658 0.008 0.365
S2 0.761 0.746 0.546
S3 0.289 0.492 0.641
S4 0.158 0.492 0.865
S5 0.261 0.754 0.046
S6 0.842 0.508 0.135
S7 0.342 0.992 0.635
S8 0.211 0.992 0.859
S9 0.739 0.246 0.954
S10 0.789 0.008 0.141
S11 0.239 0.254 0.454
S12 0.711 0.508 0.359
H1 0.750 0.589 0.914
H2 0.576 0.418 0.808
H3 0.849 0.599 0.776
H4 0.151 0.401 0.224
H5 0.250 0.411 0.086
H6 0.127 0.116 0.029
H7 0.285 0.067 0.097
H8 0.192 0.334 0.020
H9 0.250 0.911 0.414
H10 0.715 0.933 0.903
H11 0.906 0.828 0.293
H12 0.215 0.567 0.403
H13 0.594 0.328 0.207
H14 0.597 0.373 0.735
H15 0.750 0.089 0.586
H16 0.596 0.056 0.797
H17 0.554 0.175 0.204
H18 0.403 0.627 0.265
H19 0.651 0.099 0.724
H20 0.096 0.444 0.297
H21 0.406 0.672 0.793
H22 0.404 0.944 0.203
H23 0.097 0.127 0.235
H24 0.349 0.901 0.276
H25 0.808 0.666 0.980
H26 0.785 0.433 0.597
H27 0.924 0.918 0.692
H28 0.446 0.825 0.796
H29 0.076 0.082 0.308
H30 0.903 0.873 0.765
H31 0.424 0.582 0.192
H32 0.946 0.675 0.296
H33 0.373 0.616 0.471
H34 0.873 0.884 0.971
H35 0.692 0.166 0.520
H36 0.054 0.325 0.704
H37 0.904 0.556 0.703
H38 0.308 0.834 0.480
H39 0.094 0.172 0.707
H40 0.627 0.384 0.529
Al1 0.903 0.237 0.810
Al2 0.000 0.000 0.500
Al3 0.500 0.500 0.000
Al4 0.403 0.263 0.310
Al5 0.000 0.500 0.500
Al6 0.597 0.737 0.690
Al7 0.097 0.763 0.190
Al8 0.500 0.000 0.000